This record from Alexandria describes a geometry-optimized Sc2AlH2 structure. The functional is GGA-PBEsol.

The structure in CIF format:
```
data_Sc2AlH2
_cell_length_a 3.4127
_cell_length_b 3.4127
_cell_length_c 10.9485
_cell_angle_alpha 90.00
_cell_angle_beta 90.00
_cell_angle_gamma 90.00
_symmetry_space_group_name_H-M 'I 4/m m m'
_symmetry_Int_Tables_number 139
_symmetry_space_group_name_Hall '-I 4 2'
loop_
_atom_site_label
_atom_site_fract_x
_atom_site_fract_y
_atom_site_fract_z
Sc1 0.0000 0.0000 0.1528
Al1 0.0000 0.0000 0.5000
H1 0.0000 0.5000 0.2500
```

Properties
Calculated volume in Å³ per cell: 127.51
Total DFT energy (no corrections) in eV per atom: -5.4024